Record 1
# PBE Dy8YHo6, optimized geometry
# Excess energy over the best structure of this formula in the dataset, eV/atom: 0.000
# DFT total energy, eV per formula unit: -68.77
# Calculated volume, Å³/atom: 32.0
# D(E_F), states/eV per cell: 70.3
data_Dy8YHo6
_chemical_formula_sum 'Dy24 Y3 Ho18'
_cell_length_a 8.9941
_cell_length_b 8.9941
_cell_length_c 20.5263
_cell_angle_alpha 90.00
_cell_angle_beta 90.00
_cell_angle_gamma 120.00
_space_group_name_H-M_alt 'R -3'
_space_group_IT_number 148
_space_group_name_Hall '-R 3'
loop_
_atom_site_label
_atom_site_type_symbol
_atom_site_fract_x
_atom_site_fract_y
_atom_site_fract_z
Dy1 Dy 0.0000 0.0000 0.0768
Dy2 Dy 0.0815 0.5290 0.3084
Y1 Y 0.0000 0.0000 0.5000
Ho1 Ho 0.0611 0.8143 0.2073

=====

Record 2
# PBE CaLaTl2, optimized geometry
# DFT total energy, eV per formula unit: -12.72
# Calculated volume, Å³/atom: 32.5
# D(E_F), states/eV per cell: 13.8
data_CaLaTl2
_chemical_formula_sum 'Ca3 La3 Tl6'
_cell_length_a 3.8141
_cell_length_b 3.8141
_cell_length_c 30.9856
_cell_angle_alpha 90.00
_cell_angle_beta 90.00
_cell_angle_gamma 120.00
_space_group_name_H-M_alt 'R -3 m'
_space_group_IT_number 166
_space_group_name_Hall '-R 3 2"'
loop_
_atom_site_label
_atom_site_type_symbol
_atom_site_fract_x
_atom_site_fract_y
_atom_site_fract_z
Ca1 Ca 0.0000 0.0000 0.0000
La1 La 0.0000 0.0000 0.5000
Tl1 Tl 0.0000 0.0000 0.2528

=====

Record 3
# PBE Pm8Ru3Au2, optimized geometry
# DFT total energy, eV per formula unit: -76.86
# Calculated volume, Å³/atom: 27.6
# D(E_F), states/eV per cell: 9.5
data_Pm8Ru3Au2
_chemical_formula_sum 'Pm8 Ru3 Au2'
_cell_length_a 8.783
_cell_length_b 4.967
_cell_length_c 8.790
_cell_angle_alpha 90.00
_cell_angle_beta 110.54
_cell_angle_gamma 90.00
_space_group_name_H-M_alt 'P 1 2/m 1'
_space_group_IT_number 10
loop_
_space_group_symop_operation_xyz
'x,y,z'
'-x,-y,-z'
'-x,y,-z'
'x,-y,z'
loop_
_atom_site_label
_atom_site_type_symbol
_atom_site_fract_x
_atom_site_fract_y
_atom_site_fract_z
Pm1 Pm 0.115 0.000 0.386
Pm2 Pm 0.138 0.500 0.869
Pm3 Pm 0.370 0.500 0.638
Pm4 Pm 0.382 0.000 0.118
Ru1 Ru 0.251 0.000 0.751
Ru2 Ru 0.500 0.500 0.000
Au1 Au 0.245 0.500 0.255

=====

Record 4
# PBE CuNiSe2, optimized geometry
# DFT total energy, eV per formula unit: -17.20
# Raw formation energy, eV/atom: -0.089
# Calculated volume, Å³/atom: 20.0
# D(E_F), states/eV per cell: 18.8
data_CuNiSe2
_chemical_formula_sum 'Cu4 Ni4 Se8'
_cell_length_a 7.579
_cell_length_b 10.857
_cell_length_c 5.417
_cell_angle_alpha 90.00
_cell_angle_beta 134.09
_cell_angle_gamma 90.00
_space_group_name_H-M_alt 'C 1 2/c 1'
_space_group_IT_number 15
loop_
_space_group_symop_operation_xyz
'x,y,z'
'-x,-y,-z'
'-x,y,-z+1/2'
'x,-y,z+1/2'
'x+1/2,y+1/2,z'
'-x+1/2,-y+1/2,-z'
'-x+1/2,y+1/2,-z+1/2'
'x+1/2,-y+1/2,z+1/2'
loop_
_atom_site_label
_atom_site_type_symbol
_atom_site_fract_x
_atom_site_fract_y
_atom_site_fract_z
Cu1 Cu 0.000 0.243 0.250
Ni1 Ni 0.000 0.004 0.750
Se1 Se 0.235 0.387 0.737

=====

Record 5
# PBE Ba2LiGe4, optimized geometry
# DFT total energy, eV per formula unit: -25.15
# Calculated volume, Å³/atom: 27.9
# D(E_F), states/eV per cell: 6.8
data_Ba2LiGe4
_chemical_formula_sum 'Ba4 Li2 Ge8'
_cell_length_a 4.846
_cell_length_b 4.846
_cell_length_c 16.656
_cell_angle_alpha 90.00
_cell_angle_beta 90.00
_cell_angle_gamma 90.00
_space_group_name_H-M_alt 'I 4/m m m'
_space_group_IT_number 139
_space_group_name_Hall '-I 4 2'
loop_
_atom_site_label
_atom_site_type_symbol
_atom_site_fract_x
_atom_site_fract_y
_atom_site_fract_z
Ba1 Ba 0.000 0.000 0.149
Li1 Li 0.000 0.000 0.500
Ge1 Ge 0.000 0.000 0.359
Ge2 Ge 0.000 0.500 0.000

=====

Record 6
# PBE Ca3PrC4O12, optimized geometry
# DFT total energy, eV per formula unit: -150.33
# Raw formation energy, eV/atom: -2.158
# Calculated volume, Å³/atom: 13.3
# D(E_F), states/eV per cell: 3.6
data_Ca3PrC4O12
_chemical_formula_sum 'Ca9 Pr3 C12 O36'
_cell_length_a 10.2199
_cell_length_b 10.2199
_cell_length_c 8.8005
_cell_angle_alpha 90.00
_cell_angle_beta 90.00
_cell_angle_gamma 120.00
_space_group_name_H-M_alt 'R 3 2'
_space_group_IT_number 155
_space_group_name_Hall 'R 3 2"'
loop_
_atom_site_label
_atom_site_type_symbol
_atom_site_fract_x
_atom_site_fract_y
_atom_site_fract_z
Ca1 Ca 0.0000 0.5327 0.0000
Pr1 Pr 0.0000 0.0000 0.0000
C1 C 0.0000 0.0000 0.5000
C2 C 0.0000 0.4623 0.5000
O1 O 0.0000 0.5899 0.5000
O2 O 0.0000 0.8729 0.5000
O3 O 0.0020 0.2053 0.8393

=====

Record 7
# PBE CaAcLa4Pm2, optimized geometry
# DFT total energy, eV per formula unit: -34.93
# Calculated volume, Å³/atom: 37.8
# D(E_F), states/eV per cell: 28.9
data_CaAcLa4Pm2
_chemical_formula_sum 'Ca2 Ac2 La8 Pm4'
_cell_length_a 11.898
_cell_length_b 5.346
_cell_length_c 10.654
_cell_angle_alpha 90.00
_cell_angle_beta 116.72
_cell_angle_gamma 90.00
_space_group_name_H-M_alt 'C 1 2/m 1'
_space_group_IT_number 12
loop_
_space_group_symop_operation_xyz
'x,y,z'
'-x,-y,-z'
'-x,y,-z'
'x,-y,z'
'x+1/2,y+1/2,z'
'-x+1/2,-y+1/2,-z'
'-x+1/2,y+1/2,-z'
'x+1/2,-y+1/2,z'
loop_
_atom_site_label
_atom_site_type_symbol
_atom_site_fract_x
_atom_site_fract_y
_atom_site_fract_z
Ca1 Ca 0.000 0.000 0.000
Ac1 Ac 0.000 0.000 0.500
La1 La 0.247 0.000 0.873
La2 La 0.249 0.500 0.623
Pm1 Pm 0.001 0.500 0.746